# TbNdCl (PBE, relaxed)
# relative energy among the computed polymorphs = 0.000 eV/atom
# E_form (uncorrected) = -0.911 eV/atom
# N(E_F) = 4.11 states/eV per cell
# SG = R-3m (166)
# ρ = 5.634 g/cm³
data_TbNdCl
_space_group_name_H-M_alt 'P 1'
_space_group_IT_number 1
_cell_length_a 3.768
_cell_length_b 3.768
_cell_length_c 16.377
_cell_angle_alpha 83.39
_cell_angle_beta 83.39
_cell_angle_gamma 60.00
loop_
_space_group_symop_operation_xyz
'x,y,z'
loop_
_atom_site_label
_atom_site_type_symbol
_atom_site_fract_x
_atom_site_fract_y
_atom_site_fract_z
Tb1 Tb 0.138 0.138 0.587
Tb2 Tb 0.862 0.862 0.413
Nd1 Nd 0.589 0.589 0.232
Cl1 Cl 0.294 0.294 0.117
Nd2 Nd 0.411 0.411 0.768
Cl2 Cl 0.706 0.706 0.883